## P3PtCl (PBE)

Data for crystalline P3PtCl at its relaxed geometry.

N(E_F), states/eV per cell: 6.4
Theoretical density, Mg/m³: 5.0
Formation energy (no corrections), meV per atom: 873
ΔE to the lowest computed polymorph, eV per atom: 0.000

```
data_P3PtCl
_symmetry_space_group_name_H-M 'P m -3 m'
_symmetry_Int_Tables_number 221
_symmetry_space_group_name_Hall '-P 4 2 3'
_cell_length_a 4.7616
_cell_length_b 4.7616
_cell_length_c 4.7616
_cell_angle_alpha 90.00
_cell_angle_beta 90.00
_cell_angle_gamma 90.00
loop_
_atom_site_label
_atom_site_type_symbol
_atom_site_fract_x
_atom_site_fract_y
_atom_site_fract_z
_atom_site_occupancy
P1 P 0.0000 0.0000 0.5000 1
Pt1 Pt 0.0000 0.0000 0.0000 1
Cl1 Cl 0.5000 0.5000 0.5000 1
```

## P2PtCl (PBE)

Data for crystalline P2PtCl at its relaxed geometry.

N(E_F), states/eV per cell: 2.7
Theoretical density, Mg/m³: 6.8
Formation energy (no corrections), meV per atom: 232
ΔE to the lowest computed polymorph, eV per atom: 0.543

```
data_P2PtCl
_symmetry_space_group_name_H-M 'P 4 m m'
_symmetry_Int_Tables_number 99
_cell_length_a 3.2144
_cell_length_b 3.2144
_cell_length_c 6.9606
_cell_angle_alpha 90.00
_cell_angle_beta 90.00
_cell_angle_gamma 90.00
loop_
_symmetry_equiv_pos_as_xyz
'x,y,z'
'-y,x,z'
'-x,-y,z'
'y,-x,z'
'-x,y,z'
'y,x,z'
'x,-y,z'
'-y,-x,z'
loop_
_atom_site_label
_atom_site_type_symbol
_atom_site_fract_x
_atom_site_fract_y
_atom_site_fract_z
_atom_site_occupancy
P1 P 0.0000 0.0000 0.0000 1
P2 P 0.5000 0.5000 0.1389 1
Pt1 Pt 0.0000 0.0000 0.3405 1
Cl1 Cl 0.5000 0.5000 0.5996 1
```

## P2PtCl (PBE)

Data for crystalline P2PtCl at its relaxed geometry.

N(E_F), states/eV per cell: 5.2
Theoretical density, Mg/m³: 7.7
Formation energy (no corrections), meV per atom: 689
ΔE to the lowest computed polymorph, eV per atom: 0.999

```
data_P2PtCl
_symmetry_space_group_name_H-M 'I -4 m 2'
_symmetry_Int_Tables_number 119
_symmetry_space_group_name_Hall 'I -4 -2'
_cell_length_a 4.4762
_cell_length_b 4.4762
_cell_length_c 6.3148
_cell_angle_alpha 90.00
_cell_angle_beta 90.00
_cell_angle_gamma 90.00
loop_
_atom_site_label
_atom_site_type_symbol
_atom_site_fract_x
_atom_site_fract_y
_atom_site_fract_z
_atom_site_occupancy
P1 P 0.0000 0.0000 0.0000 1
P2 P 0.0000 0.5000 0.2500 1
Pt1 Pt 0.0000 0.0000 0.5000 1
Cl1 Cl 0.0000 0.5000 0.7500 1
```

## P2PtCl (PBE)

Data for crystalline P2PtCl at its relaxed geometry.

N(E_F), states/eV per cell: 0.6
Theoretical density, Mg/m³: 5.1
Formation energy (no corrections), meV per atom: -93
ΔE to the lowest computed polymorph, eV per atom: 0.218

```
data_P2PtCl
_symmetry_space_group_name_H-M 'P 1 m 1'
_symmetry_Int_Tables_number 6
_cell_length_a 4.5357
_cell_length_b 3.6225
_cell_length_c 5.8504
_cell_angle_alpha 90.00
_cell_angle_beta 98.23
_cell_angle_gamma 90.00
loop_
_symmetry_equiv_pos_as_xyz
'x,y,z'
'x,-y,z'
loop_
_atom_site_label
_atom_site_type_symbol
_atom_site_fract_x
_atom_site_fract_y
_atom_site_fract_z
_atom_site_occupancy
P1 P 0.0000 0.0000 0.0000 1
P2 P 0.3024 0.5000 0.0422 1
Pt1 Pt 0.5007 0.0000 0.8645 1
Cl1 Cl 0.4975 0.5000 0.3902 1
```

## P3PtCl (PBE)

Data for crystalline P3PtCl at its relaxed geometry.

N(E_F), states/eV per cell: 5.7
Theoretical density, Mg/m³: 6.0
Formation energy (no corrections), meV per atom: 1516
ΔE to the lowest computed polymorph, eV per atom: 0.642

```
data_P3PtCl
_symmetry_space_group_name_H-M 'P m -3 m'
_symmetry_Int_Tables_number 221
_symmetry_space_group_name_Hall '-P 4 2 3'
_cell_length_a 4.4671
_cell_length_b 4.4671
_cell_length_c 4.4671
_cell_angle_alpha 90.00
_cell_angle_beta 90.00
_cell_angle_gamma 90.00
loop_
_atom_site_label
_atom_site_type_symbol
_atom_site_fract_x
_atom_site_fract_y
_atom_site_fract_z
_atom_site_occupancy
P1 P 0.0000 0.0000 0.5000 1
Pt1 Pt 0.5000 0.5000 0.5000 1
Cl1 Cl 0.0000 0.0000 0.0000 1
```

## P2Pt2Cl (PBE)

Data for crystalline P2Pt2Cl at its relaxed geometry.

N(E_F), states/eV per cell: 5.0
Theoretical density, Mg/m³: 8.3
Formation energy (no corrections), meV per atom: -63

```
data_P2Pt2Cl
_symmetry_space_group_name_H-M 'I 4/m m m'
_symmetry_Int_Tables_number 139
_symmetry_space_group_name_Hall '-I 4 2'
_cell_length_a 4.2057
_cell_length_b 4.2057
_cell_length_c 10.9997
_cell_angle_alpha 90.00
_cell_angle_beta 90.00
_cell_angle_gamma 90.00
loop_
_atom_site_label
_atom_site_type_symbol
_atom_site_fract_x
_atom_site_fract_y
_atom_site_fract_z
_atom_site_occupancy
P1 P 0.0000 0.5000 0.2500 1
Pt1 Pt 0.0000 0.0000 0.1504 1
Cl1 Cl 0.0000 0.0000 0.5000 1
```

## PPt4Cl (PBE)

Data for crystalline PPt4Cl at its relaxed geometry.

N(E_F), states/eV per cell: 13.0
Theoretical density, Mg/m³: 13.2
Formation energy (no corrections), meV per atom: 617

```
data_PPt4Cl
_symmetry_space_group_name_H-M 'F -4 3 m'
_symmetry_Int_Tables_number 216
_symmetry_space_group_name_Hall 'F -4 2 3'
_cell_length_a 7.5226
_cell_length_b 7.5226
_cell_length_c 7.5226
_cell_angle_alpha 90.00
_cell_angle_beta 90.00
_cell_angle_gamma 90.00
loop_
_atom_site_label
_atom_site_type_symbol
_atom_site_fract_x
_atom_site_fract_y
_atom_site_fract_z
_atom_site_occupancy
P1 P 0.0000 0.0000 0.0000 1
Pt1 Pt 0.1255 0.1255 0.6255 1
Cl1 Cl 0.2500 0.2500 0.2500 1
```

## P2PtCl (PBE)

Data for crystalline P2PtCl at its relaxed geometry.

N(E_F), states/eV per cell: 6.4
Theoretical density, Mg/m³: 7.8
Formation energy (no corrections), meV per atom: 520
ΔE to the lowest computed polymorph, eV per atom: 0.831

```
data_P2PtCl
_symmetry_space_group_name_H-M 'F m -3 m'
_symmetry_Int_Tables_number 225
_symmetry_space_group_name_Hall '-F 4 2 3'
_cell_length_a 6.2789
_cell_length_b 6.2789
_cell_length_c 6.2789
_cell_angle_alpha 90.00
_cell_angle_beta 90.00
_cell_angle_gamma 90.00
loop_
_atom_site_label
_atom_site_type_symbol
_atom_site_fract_x
_atom_site_fract_y
_atom_site_fract_z
_atom_site_occupancy
P1 P 0.2500 0.2500 0.2500 1
Pt1 Pt 0.0000 0.0000 0.0000 1
Cl1 Cl 0.0000 0.0000 0.5000 1
```

## P4PtCl (PBE)

Data for crystalline P4PtCl at its relaxed geometry.

N(E_F), states/eV per cell: 22.8
Theoretical density, Mg/m³: 5.3
Formation energy (no corrections), meV per atom: 649

```
data_P4PtCl
_symmetry_space_group_name_H-M 'F -4 3 m'
_symmetry_Int_Tables_number 216
_symmetry_space_group_name_Hall 'F -4 2 3'
_cell_length_a 7.6189
_cell_length_b 7.6189
_cell_length_c 7.6189
_cell_angle_alpha 90.00
_cell_angle_beta 90.00
_cell_angle_gamma 90.00
loop_
_atom_site_label
_atom_site_type_symbol
_atom_site_fract_x
_atom_site_fract_y
_atom_site_fract_z
_atom_site_occupancy
P1 P 0.1045 0.1045 0.3955 1
Pt1 Pt 0.0000 0.0000 0.0000 1
Cl1 Cl 0.2500 0.2500 0.7500 1
```

## P2PtCl (PBE)

Data for crystalline P2PtCl at its relaxed geometry.

N(E_F), states/eV per cell: 1.3
Theoretical density, Mg/m³: 6.6
Formation energy (no corrections), meV per atom: 552
ΔE to the lowest computed polymorph, eV per atom: 0.863

```
data_P2PtCl
_symmetry_space_group_name_H-M 'P m m m'
_symmetry_Int_Tables_number 47
_cell_length_a 2.9064
_cell_length_b 3.9752
_cell_length_c 6.3652
_cell_angle_alpha 90.00
_cell_angle_beta 90.00
_cell_angle_gamma 90.00
loop_
_symmetry_equiv_pos_as_xyz
'x,y,z'
'-x,-y,-z'
'-x,-y,z'
'x,y,-z'
'x,-y,-z'
'-x,y,z'
'-x,y,-z'
'x,-y,z'
loop_
_atom_site_label
_atom_site_type_symbol
_atom_site_fract_x
_atom_site_fract_y
_atom_site_fract_z
_atom_site_occupancy
P1 P 0.0000 0.0000 0.0000 1
P2 P 0.5000 0.0000 0.5000 1
Pt1 Pt 0.0000 0.5000 0.5000 1
Cl1 Cl 0.5000 0.5000 0.0000 1
```

## P2PtCl (PBE)

Data for crystalline P2PtCl at its relaxed geometry.

N(E_F), states/eV per cell: 3.0
Theoretical density, Mg/m³: 5.7
Formation energy (no corrections), meV per atom: -311
ΔE to the lowest computed polymorph, eV per atom: 0.000

```
data_P2PtCl
_symmetry_space_group_name_H-M 'C 1 2/m 1'
_symmetry_Int_Tables_number 12
_cell_length_a 6.5242
_cell_length_b 3.8548
_cell_length_c 7.0567
_cell_angle_alpha 90.00
_cell_angle_beta 107.78
_cell_angle_gamma 90.00
loop_
_symmetry_equiv_pos_as_xyz
'x,y,z'
'-x,-y,-z'
'-x,y,-z'
'x,-y,z'
'x+1/2,y+1/2,z'
'-x+1/2,-y+1/2,-z'
'-x+1/2,y+1/2,-z'
'x+1/2,-y+1/2,z'
loop_
_atom_site_label
_atom_site_type_symbol
_atom_site_fract_x
_atom_site_fract_y
_atom_site_fract_z
_atom_site_occupancy
P1 P 0.1121 0.0000 0.3502 1
Pt1 Pt 0.0000 0.5000 0.5000 1
Cl1 Cl 0.0000 0.0000 0.0000 1
```

## P2PtCl (PBE)

Data for crystalline P2PtCl at its relaxed geometry.

N(E_F), states/eV per cell: 6.1
Theoretical density, Mg/m³: 6.9
Formation energy (no corrections), meV per atom: 452
ΔE to the lowest computed polymorph, eV per atom: 0.763

```
data_P2PtCl
_symmetry_space_group_name_H-M 'I m m m'
_symmetry_Int_Tables_number 71
_symmetry_space_group_name_Hall '-I 2 2'
_cell_length_a 2.9104
_cell_length_b 4.7108
_cell_length_c 10.2072
_cell_angle_alpha 90.00
_cell_angle_beta 90.00
_cell_angle_gamma 90.00
loop_
_atom_site_label
_atom_site_type_symbol
_atom_site_fract_x
_atom_site_fract_y
_atom_site_fract_z
_atom_site_occupancy
P1 P 0.0000 0.0000 0.1991 1
Pt1 Pt 0.0000 0.5000 0.5000 1
Cl1 Cl 0.0000 0.5000 0.0000 1
```

## P2PtCl (PBE)

Data for crystalline P2PtCl at its relaxed geometry.

N(E_F), states/eV per cell: 6.8
Theoretical density, Mg/m³: 6.3
Formation energy (no corrections), meV per atom: -88
ΔE to the lowest computed polymorph, eV per atom: 0.222

```
data_P2PtCl
_symmetry_space_group_name_H-M 'R -3 m'
_symmetry_Int_Tables_number 166
_symmetry_space_group_name_Hall '-R 3 2"'
_cell_length_a 3.7752
_cell_length_b 3.7752
_cell_length_c 18.7543
_cell_angle_alpha 90.00
_cell_angle_beta 90.00
_cell_angle_gamma 120.00
loop_
_atom_site_label
_atom_site_type_symbol
_atom_site_fract_x
_atom_site_fract_y
_atom_site_fract_z
_atom_site_occupancy
P1 P 0.0000 0.0000 0.2220 1
Pt1 Pt 0.0000 0.0000 0.5000 1
Cl1 Cl 0.0000 0.0000 0.0000 1
```

## RbPPtCl2 (PBE)

Data for crystalline RbPPtCl2 at its relaxed geometry.

N(E_F), states/eV per cell: 14.4
Theoretical density, Mg/m³: 2.7
Formation energy (no corrections), meV per atom: 1178
ΔE to the lowest computed polymorph, eV per atom: 1.725

```
data_RbPPtCl2
_symmetry_space_group_name_H-M 'P 4/m m m'
_symmetry_Int_Tables_number 123
_symmetry_space_group_name_Hall '-P 4 2'
_cell_length_a 6.0028
_cell_length_b 6.0028
_cell_length_c 6.4115
_cell_angle_alpha 90.00
_cell_angle_beta 90.00
_cell_angle_gamma 90.00
loop_
_atom_site_label
_atom_site_type_symbol
_atom_site_fract_x
_atom_site_fract_y
_atom_site_fract_z
_atom_site_occupancy
Rb1 Rb 0.0000 0.0000 0.0000 1
P1 P 0.0000 0.0000 0.5000 1
Pt1 Pt 0.5000 0.5000 0.5000 1
Cl1 Cl 0.0000 0.5000 0.0000 1
```